Record 1
# GGA-PBE Li2RuRh2, relaxed
data_Li2RuRh2
_cell_length_a 6.677
_cell_length_b 6.677
_cell_length_c 2.783
_cell_angle_alpha 90.00
_cell_angle_beta 90.00
_cell_angle_gamma 90.00
_symmetry_space_group_name_H-M 'P 1'
_symmetry_Int_Tables_number 1
_symmetry_space_group_name_Hall 'P 1'
loop_
_atom_site_label
_atom_site_type_symbol
_atom_site_fract_x
_atom_site_fract_y
_atom_site_fract_z
Rh1 Rh 0.689 0.811 0.500
Rh2 Rh 0.811 0.311 0.500
Rh3 Rh 0.189 0.689 0.500
Rh4 Rh 0.311 0.189 0.500
Ru1 Ru 0.000 0.000 0.000
Ru2 Ru 0.500 0.500 0.000
Li1 Li 0.113 0.387 0.000
Li2 Li 0.613 0.113 0.000
Li3 Li 0.387 0.887 0.000
Li4 Li 0.887 0.613 0.000
# - Space-group type: P4/mbm, No. 127
# - Formation energy from the elements: 3.227 kcal/mol of atoms
# - E: -54.21 eV/cell
# - Relative energy among the computed polymorphs: 0 meV/atom
# - Magnetic moment: 0.000 μB/atom

Record 2
# GGA-PBE Li2RuRh, relaxed
data_Li2RuRh
_cell_length_a 4.981
_cell_length_b 4.981
_cell_length_c 4.981
_cell_angle_alpha 137.80
_cell_angle_beta 137.80
_cell_angle_gamma 61.22
_symmetry_space_group_name_H-M 'P 1'
_symmetry_Int_Tables_number 1
_symmetry_space_group_name_Hall 'P 1'
loop_
_atom_site_label
_atom_site_type_symbol
_atom_site_fract_x
_atom_site_fract_y
_atom_site_fract_z
Li1 Li 0.000 0.000 0.000
Li2 Li 0.500 0.500 0.000
Ru1 Ru 0.750 0.250 0.500
Rh1 Rh 0.250 0.750 0.500
# - Space-group type: I4/mmm, No. 139
# - Formation energy from the elements: 3.659 kcal/mol of atoms
# - E: -19.82 eV/cell
# - Relative energy among the computed polymorphs: 158 meV/atom
# - Magnetic moment: 0.002 μB/atom

Record 3
# GGA-PBE Li2RuRh, relaxed
data_Li2RuRh
_cell_length_a 2.537
_cell_length_b 2.537
_cell_length_c 8.526
_cell_angle_alpha 90.00
_cell_angle_beta 90.00
_cell_angle_gamma 90.00
_symmetry_space_group_name_H-M 'P 1'
_symmetry_Int_Tables_number 1
_symmetry_space_group_name_Hall 'P 1'
loop_
_atom_site_label
_atom_site_type_symbol
_atom_site_fract_x
_atom_site_fract_y
_atom_site_fract_z
Li1 Li 0.000 0.000 0.006
Li2 Li 0.000 0.000 0.494
Rh1 Rh 0.500 0.500 0.250
Ru1 Ru 0.500 0.500 0.750
# - Space-group type: P4/mmm, No. 123
# - Formation energy from the elements: 2.846 kcal/mol of atoms
# - E: -19.96 eV/cell
# - Relative energy among the computed polymorphs: 123 meV/atom
# - Magnetic moment: 0.032 μB/atom

Record 4
# GGA-PBE LiRu2Rh, relaxed
data_LiRu2Rh
_cell_length_a 2.648
_cell_length_b 2.648
_cell_length_c 9.185
_cell_angle_alpha 90.00
_cell_angle_beta 90.00
_cell_angle_gamma 118.39
_symmetry_space_group_name_H-M 'P 1'
_symmetry_Int_Tables_number 1
_symmetry_space_group_name_Hall 'P 1'
loop_
_atom_site_label
_atom_site_type_symbol
_atom_site_fract_x
_atom_site_fract_y
_atom_site_fract_z
Rh1 Rh 0.500 0.500 0.750
Li1 Li 0.500 0.500 0.250
Ru1 Ru 0.000 0.000 0.000
Ru2 Ru 0.000 0.000 0.500
# - Space-group type: Cmmm, No. 65
# - Formation energy from the elements: 6.966 kcal/mol of atoms
# - E: -26.61 eV/cell
# - Relative energy among the computed polymorphs: 211 meV/atom
# - Magnetic moment: 0.000 μB/atom

Record 5
# GGA-PBE Li2RuRh, relaxed
data_Li2RuRh
_cell_length_a 2.620
_cell_length_b 2.620
_cell_length_c 8.991
_cell_angle_alpha 90.00
_cell_angle_beta 90.00
_cell_angle_gamma 117.83
_symmetry_space_group_name_H-M 'P 1'
_symmetry_Int_Tables_number 1
_symmetry_space_group_name_Hall 'P 1'
loop_
_atom_site_label
_atom_site_type_symbol
_atom_site_fract_x
_atom_site_fract_y
_atom_site_fract_z
Li1 Li 0.000 0.000 0.496
Li2 Li 0.000 0.000 0.004
Ru1 Ru 0.500 0.500 0.750
Rh1 Rh 0.500 0.500 0.250
# - Space-group type: Cmmm, No. 65
# - Formation energy from the elements: 0.333 kcal/mol of atoms
# - E: -20.40 eV/cell
# - Relative energy among the computed polymorphs: 14 meV/atom
# - Magnetic moment: 0.116 μB/atom

Record 6
# GGA-PBE Li2RuRh, relaxed
data_Li2RuRh
_cell_length_a 4.197
_cell_length_b 4.197
_cell_length_c 4.197
_cell_angle_alpha 119.96
_cell_angle_beta 119.96
_cell_angle_gamma 90.07
_symmetry_space_group_name_H-M 'P 1'
_symmetry_Int_Tables_number 1
_symmetry_space_group_name_Hall 'P 1'
loop_
_atom_site_label
_atom_site_type_symbol
_atom_site_fract_x
_atom_site_fract_y
_atom_site_fract_z
Li1 Li 0.250 0.750 0.500
Li2 Li 0.000 0.000 0.000
Rh1 Rh 0.500 0.500 0.000
Ru1 Ru 0.750 0.250 0.500
# - Space-group type: I-4m2, No. 119
# - Formation energy from the elements: 0.912 kcal/mol of atoms
# - E: -20.30 eV/cell
# - Relative energy among the computed polymorphs: 39 meV/atom
# - Magnetic moment: 0.000 μB/atom

Record 7
# GGA-PBE LiRuRh4, relaxed
data_LiRuRh4
_cell_length_a 5.075
_cell_length_b 5.075
_cell_length_c 5.075
_cell_angle_alpha 60.00
_cell_angle_beta 60.00
_cell_angle_gamma 60.00
_symmetry_space_group_name_H-M 'P 1'
_symmetry_Int_Tables_number 1
_symmetry_space_group_name_Hall 'P 1'
loop_
_atom_site_label
_atom_site_type_symbol
_atom_site_fract_x
_atom_site_fract_y
_atom_site_fract_z
Rh1 Rh 0.375 0.375 0.875
Rh2 Rh 0.375 0.375 0.375
Rh3 Rh 0.375 0.875 0.375
Rh4 Rh 0.875 0.375 0.375
Li1 Li 0.000 0.000 0.000
Ru1 Ru 0.750 0.750 0.750
# - Space-group type: F-43m, No. 216
# - Formation energy from the elements: 8.170 kcal/mol of atoms
# - E: -38.47 eV/cell
# - Magnetic moment: 0.423 μB/atom

Record 8
# GGA-PBE LiRu2Rh, relaxed
data_LiRu2Rh
_cell_length_a 4.636
_cell_length_b 4.636
_cell_length_c 4.636
_cell_angle_alpha 132.15
_cell_angle_beta 132.15
_cell_angle_gamma 69.99
_symmetry_space_group_name_H-M 'P 1'
_symmetry_Int_Tables_number 1
_symmetry_space_group_name_Hall 'P 1'
loop_
_atom_site_label
_atom_site_type_symbol
_atom_site_fract_x
_atom_site_fract_y
_atom_site_fract_z
Ru1 Ru 0.000 0.000 0.000
Ru2 Ru 0.250 0.750 0.500
Rh1 Rh 0.750 0.250 0.500
Li1 Li 0.500 0.500 0.000
# - Space-group type: I-4m2, No. 119
# - Formation energy from the elements: 3.825 kcal/mol of atoms
# - E: -27.15 eV/cell
# - Relative energy among the computed polymorphs: 74 meV/atom
# - Magnetic moment: 0.089 μB/atom

Record 9
# GGA-PBE LiRu2Rh, relaxed
data_LiRu2Rh
_cell_length_a 4.021
_cell_length_b 2.669
_cell_length_c 5.160
_cell_angle_alpha 74.85
_cell_angle_beta 90.00
_cell_angle_gamma 90.00
_symmetry_space_group_name_H-M 'P 1'
_symmetry_Int_Tables_number 1
_symmetry_space_group_name_Hall 'P 1'
loop_
_atom_site_label
_atom_site_type_symbol
_atom_site_fract_x
_atom_site_fract_y
_atom_site_fract_z
Li1 Li 0.000 0.320 0.522
Ru1 Ru 0.000 0.041 0.025
Ru2 Ru 0.500 0.433 0.239
Rh1 Rh 0.500 0.706 0.713
# - Space-group type: Pm, No. 6
# - Formation energy from the elements: 2.480 kcal/mol of atoms
# - E: -27.39 eV/cell
# - Relative energy among the computed polymorphs: 16 meV/atom
# - Magnetic moment: 0.000 μB/atom

Record 10
# GGA-PBE Li2RuRh, relaxed
data_Li2RuRh
_cell_length_a 4.589
_cell_length_b 4.589
_cell_length_c 4.783
_cell_angle_alpha 83.17
_cell_angle_beta 83.17
_cell_angle_gamma 33.76
_symmetry_space_group_name_H-M 'P 1'
_symmetry_Int_Tables_number 1
_symmetry_space_group_name_Hall 'P 1'
loop_
_atom_site_label
_atom_site_type_symbol
_atom_site_fract_x
_atom_site_fract_y
_atom_site_fract_z
Rh1 Rh 0.501 0.501 0.456
Ru1 Ru 0.245 0.245 0.295
Li1 Li 0.998 0.998 0.970
Li2 Li 0.756 0.756 0.779
# - Space-group type: Cm, No. 8
# - Formation energy from the elements: 0.268 kcal/mol of atoms
# - E: -20.41 eV/cell
# - Relative energy among the computed polymorphs: 11 meV/atom
# - Magnetic moment: 0.000 μB/atom

Record 11
# GGA-PBE Li2RuRh, relaxed
data_Li2RuRh
_cell_length_a 4.945
_cell_length_b 4.945
_cell_length_c 2.572
_cell_angle_alpha 90.00
_cell_angle_beta 90.00
_cell_angle_gamma 119.08
_symmetry_space_group_name_H-M 'P 1'
_symmetry_Int_Tables_number 1
_symmetry_space_group_name_Hall 'P 1'
loop_
_atom_site_label
_atom_site_type_symbol
_atom_site_fract_x
_atom_site_fract_y
_atom_site_fract_z
Rh1 Rh 0.500 0.000 0.500
Li1 Li 0.500 0.500 0.000
Li2 Li 0.000 0.000 0.000
Ru1 Ru 0.000 0.500 0.500
# - Space-group type: Cmmm, No. 65
# - Formation energy from the elements: 3.165 kcal/mol of atoms
# - E: -19.91 eV/cell
# - Relative energy among the computed polymorphs: 136 meV/atom
# - Magnetic moment: 0.064 μB/atom

Record 12
# GGA-PBE Li2RuRh, relaxed
data_Li2RuRh
_cell_length_a 4.908
_cell_length_b 4.908
_cell_length_c 4.908
_cell_angle_alpha 146.36
_cell_angle_beta 128.29
_cell_angle_gamma 63.11
_symmetry_space_group_name_H-M 'P 1'
_symmetry_Int_Tables_number 1
_symmetry_space_group_name_Hall 'P 1'
loop_
_atom_site_label
_atom_site_type_symbol
_atom_site_fract_x
_atom_site_fract_y
_atom_site_fract_z
Li1 Li 0.243 0.743 0.500
Li2 Li 0.010 0.010 0.000
Rh1 Rh 0.497 0.497 0.000
Ru1 Ru 0.751 0.251 0.500
# - Space-group type: Imm2, No. 44
# - Formation energy from the elements: 2.854 kcal/mol of atoms
# - E: -19.96 eV/cell
# - Relative energy among the computed polymorphs: 123 meV/atom
# - Magnetic moment: 0.001 μB/atom

Record 13
# GGA-PBE Li2RuRh, relaxed
data_Li2RuRh
_cell_length_a 2.784
_cell_length_b 2.784
_cell_length_c 7.303
_cell_angle_alpha 90.00
_cell_angle_beta 90.00
_cell_angle_gamma 90.00
_symmetry_space_group_name_H-M 'P 1'
_symmetry_Int_Tables_number 1
_symmetry_space_group_name_Hall 'P 1'
loop_
_atom_site_label
_atom_site_type_symbol
_atom_site_fract_x
_atom_site_fract_y
_atom_site_fract_z
Rh1 Rh 0.000 0.000 0.507
Li1 Li 0.500 0.500 0.265
Li2 Li 0.000 0.000 0.989
Ru1 Ru 0.500 0.500 0.739
# - Space-group type: P4mm, No. 99
# - Formation energy from the elements: 0.696 kcal/mol of atoms
# - E: -20.33 eV/cell
# - Relative energy among the computed polymorphs: 29 meV/atom
# - Magnetic moment: 0.000 μB/atom

Record 14
# GGA-PBE LiRu2Rh, relaxed
data_LiRu2Rh
_cell_length_a 7.394
_cell_length_b 7.394
_cell_length_c 5.739
_cell_angle_alpha 49.89
_cell_angle_beta 49.89
_cell_angle_gamma 90.00
_symmetry_space_group_name_H-M 'P 1'
_symmetry_Int_Tables_number 1
_symmetry_space_group_name_Hall 'P 1'
loop_
_atom_site_label
_atom_site_type_symbol
_atom_site_fract_x
_atom_site_fract_y
_atom_site_fract_z
Ru1 Ru 0.074 0.625 0.250
Ru2 Ru 0.375 0.324 0.750
Ru3 Ru 0.875 0.926 0.750
Ru4 Ru 0.676 0.125 0.250
Rh1 Rh 0.000 0.000 0.000
Rh2 Rh 0.750 0.250 0.500
Li1 Li 0.500 0.500 0.000
Li2 Li 0.250 0.750 0.500
# - Space-group type: I-42d, No. 122
# - Formation energy from the elements: 15.215 kcal/mol of atoms
# - E: -50.36 eV/cell
# - Relative energy among the computed polymorphs: 568 meV/atom
# - Magnetic moment: 0.000 μB/atom

Record 15
# GGA-PBE LiRu2Rh, relaxed
data_LiRu2Rh
_cell_length_a 4.120
_cell_length_b 3.619
_cell_length_c 3.619
_cell_angle_alpha 90.00
_cell_angle_beta 90.00
_cell_angle_gamma 90.00
_symmetry_space_group_name_H-M 'P 1'
_symmetry_Int_Tables_number 1
_symmetry_space_group_name_Hall 'P 1'
loop_
_atom_site_label
_atom_site_type_symbol
_atom_site_fract_x
_atom_site_fract_y
_atom_site_fract_z
Rh1 Rh 0.500 0.000 0.500
Ru1 Ru 0.000 0.000 0.000
Ru2 Ru 0.000 0.500 0.500
Li1 Li 0.500 0.500 0.000
# - Space-group type: P4/mmm, No. 123
# - Formation energy from the elements: 4.946 kcal/mol of atoms
# - E: -26.96 eV/cell
# - Relative energy among the computed polymorphs: 123 meV/atom
# - Magnetic moment: 0.000 μB/atom

Record 16
# GGA-PBE Li2RuRh, relaxed
data_Li2RuRh
_cell_length_a 9.239
_cell_length_b 9.239
_cell_length_c 9.239
_cell_angle_alpha 17.03
_cell_angle_beta 17.03
_cell_angle_gamma 17.03
_symmetry_space_group_name_H-M 'P 1'
_symmetry_Int_Tables_number 1
_symmetry_space_group_name_Hall 'P 1'
loop_
_atom_site_label
_atom_site_type_symbol
_atom_site_fract_x
_atom_site_fract_y
_atom_site_fract_z
Li1 Li 0.243 0.243 0.243
Li2 Li 0.006 0.006 0.006
Rh1 Rh 0.498 0.498 0.498
Ru1 Ru 0.754 0.754 0.754
# - Space-group type: R3m, No. 160
# - Formation energy from the elements: 1.910 kcal/mol of atoms
# - E: -20.12 eV/cell
# - Relative energy among the computed polymorphs: 82 meV/atom
# - Magnetic moment: 0.000 μB/atom

Record 17
# GGA-PBE Li2RuRh, relaxed
data_Li2RuRh
_cell_length_a 2.679
_cell_length_b 2.679
_cell_length_c 9.307
_cell_angle_alpha 90.00
_cell_angle_beta 90.00
_cell_angle_gamma 117.93
_symmetry_space_group_name_H-M 'P 1'
_symmetry_Int_Tables_number 1
_symmetry_space_group_name_Hall 'P 1'
loop_
_atom_site_label
_atom_site_type_symbol
_atom_site_fract_x
_atom_site_fract_y
_atom_site_fract_z
Li1 Li 0.000 0.000 0.985
Li2 Li 0.500 0.500 0.269
Ru1 Ru 0.500 0.500 0.744
Rh1 Rh 0.000 0.000 0.502
# - Space-group type: Cmm2, No. 35
# - Formation energy from the elements: 3.878 kcal/mol of atoms
# - E: -19.78 eV/cell
# - Relative energy among the computed polymorphs: 167 meV/atom
# - Magnetic moment: 0.184 μB/atom

Record 18
# GGA-PBE LiRu3Rh, relaxed
data_LiRu3Rh
_cell_length_a 4.059
_cell_length_b 4.059
_cell_length_c 4.059
_cell_angle_alpha 90.00
_cell_angle_beta 90.00
_cell_angle_gamma 90.00
_symmetry_space_group_name_H-M 'P 1'
_symmetry_Int_Tables_number 1
_symmetry_space_group_name_Hall 'P 1'
loop_
_atom_site_label
_atom_site_type_symbol
_atom_site_fract_x
_atom_site_fract_y
_atom_site_fract_z
Ru1 Ru 0.000 0.000 0.500
Ru2 Ru 0.000 0.500 0.000
Ru3 Ru 0.500 0.000 0.000
Li1 Li 0.000 0.000 0.000
Rh1 Rh 0.500 0.500 0.500
# - Space-group type: Pm-3m, No. 221
# - Formation energy from the elements: 23.038 kcal/mol of atoms
# - E: -32.10 eV/cell
# - Relative energy among the computed polymorphs: 0 meV/atom
# - Magnetic moment: 0.000 μB/atom

Record 19
# GGA-PBE Li2RuRh, relaxed
data_Li2RuRh
_cell_length_a 4.482
_cell_length_b 4.482
_cell_length_c 2.546
_cell_angle_alpha 90.00
_cell_angle_beta 90.00
_cell_angle_gamma 90.00
_symmetry_space_group_name_H-M 'P 1'
_symmetry_Int_Tables_number 1
_symmetry_space_group_name_Hall 'P 1'
loop_
_atom_site_label
_atom_site_type_symbol
_atom_site_fract_x
_atom_site_fract_y
_atom_site_fract_z
Rh1 Rh 0.500 0.000 0.500
Li1 Li 0.500 0.500 0.000
Li2 Li 0.000 0.000 0.000
Ru1 Ru 0.000 0.500 0.500
# - Space-group type: P4/mmm, No. 123
# - Formation energy from the elements: 6.394 kcal/mol of atoms
# - E: -19.35 eV/cell
# - Relative energy among the computed polymorphs: 276 meV/atom
# - Magnetic moment: 0.197 μB/atom

Record 20
# GGA-PBE LiRu4Rh2, relaxed
data_LiRu4Rh2
_cell_length_a 4.010
_cell_length_b 4.010
_cell_length_c 6.939
_cell_angle_alpha 73.20
_cell_angle_beta 73.20
_cell_angle_gamma 90.00
_symmetry_space_group_name_H-M 'P 1'
_symmetry_Int_Tables_number 1
_symmetry_space_group_name_Hall 'P 1'
loop_
_atom_site_label
_atom_site_type_symbol
_atom_site_fract_x
_atom_site_fract_y
_atom_site_fract_z
Ru1 Ru 0.000 0.500 0.000
Ru2 Ru 0.500 0.000 0.000
Ru3 Ru 0.832 0.832 0.336
Ru4 Ru 0.168 0.168 0.664
Rh1 Rh 0.358 0.358 0.284
Rh2 Rh 0.642 0.642 0.716
Li1 Li 0.000 0.000 0.000
# - Space-group type: I4/mmm, No. 139
# - Formation energy from the elements: 22.953 kcal/mol of atoms
# - E: -46.75 eV/cell
# - Magnetic moment: 0.000 μB/atom